Compound: RbCaNbTeSe
Source: Alexandria
Functional: PBE-GGA
Structure: relaxed

abc: 4.813 4.834 8.695
angles: 89.97 106.11 120.11
Site moments in Bohr magnetons follow the coordinates.
Fractional coordinates of all 5 atoms:
Nb: 0.268 0.226 0.889  2.00
Te: 0.901 0.543 0.835  -0.06
Se: 0.491 0.337 0.224  0.01
Rb: 0.350 0.767 0.511  0.02
Ca: 0.741 0.962 0.102  0.11

Computed properties:
- Total energy: -4.55 eV per atom
- Size of the total moment: 0.62 μB/atom
- ΔE_f (raw): -618 meV/atom
- Distance to the lowest polymorph of the same formula: 96.3 meV per atom

---

Compound: Zn2Pb
Source: Alexandria
Functional: PBE-GGA
Structure: relaxed

abc: 8.077 8.077 8.077
angles: 149.32 149.32 43.94
Fractional coordinates of all 6 atoms:
Zn: 0.583 0.583 0.000
Zn: 0.167 0.667 0.500
Zn: 0.417 0.417 0.000
Zn: 0.333 0.833 0.500
Pb: 0.000 0.000 0.000
Pb: 0.750 0.250 0.500

Computed properties:
- Total energy: -1.92 eV per atom
- Formation energy from the elements: 0.48 eV per formula unit
- Size of the total moment: 0.00 μB/atom

---

Compound: AgW2Au
Source: Alexandria
Functional: PBE-GGA
Structure: relaxed

abc: 3.324 3.324 6.166
angles: 90.00 90.00 90.00
Fractional coordinates of all 4 atoms:
Au: 0.500 0.500 0.747
Ag: 0.000 0.000 0.503
W: 0.000 0.000 0.021
W: 0.500 0.500 0.229

Computed properties:
- Total energy: -7.56 eV per atom
- Formation energy from the elements: 1.81 eV per formula unit
- Size of the total moment: 0.00 μB/atom
- Distance to the lowest polymorph of the same formula: 162.6 meV per atom